[1]
## Li2PdRh2O6 (PBE)

Data for an optimized crystal structure of Li2PdRh2O6.

abc: 5.358 5.358 5.136
angles: 99.90 99.90 120.25
Atoms (fractional coordinates):
1 Li 0.837 0.163 0.000
2 Li 0.163 0.837 0.000
3 Pd 0.000 0.000 0.500
4 Rh 0.335 0.665 0.500
5 Rh 0.665 0.335 0.500
6 O 0.748 0.748 0.723
7 O 0.065 0.406 0.717
8 O 0.252 0.252 0.277
9 O 0.406 0.065 0.717
10 O 0.935 0.594 0.283
11 O 0.594 0.935 0.283

The formation energy from raw total energies comes out at -990 meV/atom.

=====

[2]
## LaAlSb (PBE)

Data for an optimized crystal structure of LaAlSb.

abc: 6.261 4.357 9.631
angles: 90.06 79.13 45.91
Atoms (fractional coordinates):
1 Sb 0.047 0.050 0.357
2 Sb 0.614 0.985 0.094
3 La 0.496 0.101 0.444
4 La 0.312 0.287 0.826
5 Al 0.899 0.200 0.650
6 Al 0.769 0.330 0.929

The formation energy from raw total energies comes out at -408 meV/atom.

=====

[3]
## RbInGa2Re (PBE)

Data for an optimized crystal structure of RbInGa2Re.

abc: 4.997 4.997 5.291
angles: 90.00 90.00 90.00
Atoms (fractional coordinates):
1 Re 0.000 0.000 0.000
2 Ga 0.000 0.500 0.000
3 Ga 0.500 0.000 0.000
4 Rb 0.500 0.500 0.500
5 In 0.000 0.000 0.500

As for the formation energy: 38 meV/atom.

=====

[4]
## ThNi12B6 (PBE)

Data for an optimized crystal structure of ThNi12B6.

abc: 6.037 6.037 6.037
angles: 104.43 104.43 104.43
Atoms (fractional coordinates):
1 Th 0.000 0.000 0.000
2 Ni 0.869 0.131 0.500
3 Ni 0.813 0.545 0.545
4 Ni 0.545 0.545 0.813
5 Ni 0.455 0.187 0.455
6 Ni 0.455 0.455 0.187
7 Ni 0.187 0.455 0.455
8 Ni 0.131 0.500 0.869
9 Ni 0.500 0.869 0.131
10 Ni 0.131 0.869 0.500
11 Ni 0.869 0.500 0.131
12 Ni 0.500 0.131 0.869
13 Ni 0.545 0.813 0.545
14 B 0.667 0.233 0.233
15 B 0.233 0.233 0.667
16 B 0.233 0.667 0.233
17 B 0.767 0.767 0.333
18 B 0.333 0.767 0.767
19 B 0.767 0.333 0.767

As for the formation energy: -404 meV/atom.

=====

[5]
## NdDyBr2 (PBE)

Data for an optimized crystal structure of NdDyBr2.

abc: 3.639 3.639 9.594
angles: 79.07 79.07 60.00
Atoms (fractional coordinates):
1 Nd 0.501 0.501 0.496
2 Dy 0.665 0.665 0.004
3 Br 0.082 0.082 0.754
4 Br 0.251 0.251 0.246

Its excess energy over the best structure of this formula in the dataset is 0.0000 eV per atom. The formation energy from raw total energies comes out at -1053 meV/atom.

=====

[6]
## TmCuAgPt (PBE)

Data for an optimized crystal structure of TmCuAgPt.

abc: 4.678 4.678 4.678
angles: 60.00 60.00 60.00
Atoms (fractional coordinates):
1 Tm 0.000 0.000 0.000
2 Ag 0.500 0.500 0.500
3 Pt 0.750 0.750 0.750
4 Cu 0.250 0.250 0.250

As for the formation energy: -497 meV/atom.

=====

[7]
## BiBRu2W (PBE)

Data for an optimized crystal structure of BiBRu2W.

abc: 4.701 5.375 4.701
angles: 90.00 90.00 90.00
Atoms (fractional coordinates):
1 Ru 0.000 0.000 0.500
2 Ru 0.500 0.000 0.000
3 B 0.500 0.500 0.500
4 Bi 0.000 0.500 0.000
5 W 0.000 0.000 0.000

As for the formation energy: 2285 meV/atom.

=====

[8]
## Pm3ScB2N6 (PBE)

Data for an optimized crystal structure of Pm3ScB2N6.

abc: 5.489 5.489 6.193
angles: 90.00 90.00 120.00
Atoms (fractional coordinates):
1 Pm 0.333 0.667 0.662
2 Pm 0.667 0.333 0.338
3 Pm 0.000 0.000 0.000
4 Sc 0.000 0.000 0.500
5 B 0.667 0.333 0.747
6 B 0.333 0.667 0.253
7 N 0.638 0.819 0.282
8 N 0.181 0.362 0.282
9 N 0.181 0.819 0.282
10 N 0.819 0.638 0.718
11 N 0.362 0.181 0.718
12 N 0.819 0.181 0.718

The formation energy from raw total energies comes out at -1254 meV/atom.

=====

[9]
## BaTeW2 (PBE)

Data for an optimized crystal structure of BaTeW2.

abc: 5.065 5.065 5.065
angles: 120.11 120.11 89.81
Atoms (fractional coordinates):
1 Ba 0.500 0.500 0.000
2 Te 0.750 0.250 0.500
3 W 0.000 0.000 0.000
4 W 0.250 0.750 0.500

The formation energy from raw total energies comes out at 1301 meV/atom.

=====

[10]
## Ac7Ag2Au2 (PBE)

Data for an optimized crystal structure of Ac7Ag2Au2.

abc: 7.415 8.021 7.415
angles: 89.98 111.13 90.02
Atoms (fractional coordinates):
1 Ac 0.000 0.275 0.500
2 Ac 0.500 0.725 0.000
3 Ac 0.000 0.725 0.500
4 Ac 0.500 0.275 0.000
5 Ac 0.000 0.000 0.000
6 Ac 0.500 0.741 0.500
7 Ac 0.500 0.259 0.500
8 Ag 0.829 0.500 0.829
9 Ag 0.171 0.500 0.171
10 Au 0.707 0.000 0.293
11 Au 0.293 0.000 0.707

As for the formation energy: -177 meV/atom.

=====

[11]
## Si2NiCl (PBE)

Data for an optimized crystal structure of Si2NiCl.

abc: 6.519 6.519 6.519
angles: 32.10 32.10 32.10
Atoms (fractional coordinates):
1 Cl 0.481 0.481 0.481
2 Ni 0.735 0.735 0.735
3 Si 0.007 0.007 0.007
4 Si 0.278 0.278 0.278

Its excess energy over the best structure of this formula in the dataset is 0.4157 eV per atom. The formation energy from raw total energies comes out at 91 meV/atom.

=====

[12]
## LiEr2PaO6 (PBE)

Data for an optimized crystal structure of LiEr2PaO6.

abc: 5.768 5.768 6.031
angles: 61.44 61.44 60.00
Atoms (fractional coordinates):
1 Li 0.800 0.799 0.601
2 Er 0.525 0.525 0.424
3 Er 0.021 0.021 0.938
4 Pa 0.314 0.314 0.059
5 O 0.613 0.228 0.236
6 O 0.228 0.924 0.236
7 O 0.924 0.613 0.236
8 O 0.399 0.701 0.762
9 O 0.701 0.138 0.762
10 O 0.138 0.399 0.762

The formation energy from raw total energies comes out at -3306 meV/atom.

=====

[13]
## UH2I3 (PBE)

Data for an optimized crystal structure of UH2I3.

abc: 8.709 8.709 7.157
angles: 90.00 90.00 120.00
Atoms (fractional coordinates):
1 U 0.000 0.000 0.000
2 U 0.000 0.000 0.500
3 H 0.333 0.667 0.802
4 H 0.667 0.333 0.302
5 H 0.667 0.333 0.198
6 H 0.333 0.667 0.698
7 I 0.665 0.833 0.250
8 I 0.167 0.335 0.250
9 I 0.167 0.833 0.250
10 I 0.335 0.167 0.750
11 I 0.833 0.665 0.750
12 I 0.833 0.167 0.750

Its total energy is -4.3323 eV per atom.

=====

[14]
## DyGeS4 (PBE)

Data for an optimized crystal structure of DyGeS4.

abc: 5.736 7.272 8.933
angles: 90.00 90.00 129.27
Atoms (fractional coordinates):
1 Dy 0.999 0.624 0.750
2 Dy 0.001 0.376 0.250
3 Ge 0.998 0.108 0.750
4 Ge 0.002 0.892 0.250
5 S 0.597 0.728 0.750
6 S 0.403 0.272 0.250
7 S 0.400 0.130 0.750
8 S 0.600 0.870 0.250
9 S 0.002 0.684 0.063
10 S 0.998 0.316 0.563
11 S 0.002 0.684 0.437
12 S 0.998 0.316 0.937

The formation energy from raw total energies comes out at -822 meV/atom.

=====

[15]
## CaBeZn2 (PBE)

Data for an optimized crystal structure of CaBeZn2.

abc: 4.121 4.121 5.692
angles: 68.73 68.73 60.01
Atoms (fractional coordinates):
1 Be 0.750 0.750 0.750
2 Zn 0.054 0.054 0.839
3 Zn 0.446 0.446 0.661
4 Ca 0.250 0.250 0.250

As for the formation energy: -81 meV/atom.

=====

[16]
## BaCr2Ag (PBE)

Data for an optimized crystal structure of BaCr2Ag.

abc: 4.644 4.644 4.711
angles: 90.00 90.00 90.03
Atoms (fractional coordinates):
1 Ag 0.500 0.000 0.500
2 Ba 0.000 0.500 0.500
3 Cr 0.000 0.000 0.000
4 Cr 0.500 0.500 0.000

Its excess energy over the best structure of this formula in the dataset is 0.3831 eV per atom. As for the formation energy: 897 meV/atom.

=====

[17]
## Al2CuBH (PBE)

Data for an optimized crystal structure of Al2CuBH.

abc: 4.543 3.724 4.543
angles: 90.00 90.00 90.00
Atoms (fractional coordinates):
1 H 0.500 0.500 0.500
2 B 0.000 0.500 0.000
3 Al 0.000 0.000 0.500
4 Al 0.500 0.000 0.000
5 Cu 0.000 0.000 0.000

Its total energy is -3.4553 eV per atom.

=====

[18]
## AcPm3B (PBE)

Data for an optimized crystal structure of AcPm3B.

abc: 5.379 5.379 5.379
angles: 90.00 90.00 90.00
Atoms (fractional coordinates):
1 Ac 0.500 0.500 0.500
2 B 0.000 0.000 0.000
3 Pm 0.000 0.500 0.000
4 Pm 0.000 0.000 0.500
5 Pm 0.500 0.000 0.000

As for the formation energy: 97 meV/atom.

=====

[19]
## LaIn2P (PBE)

Data for an optimized crystal structure of LaIn2P.

abc: 4.004 4.428 6.390
angles: 69.71 90.00 90.00
Atoms (fractional coordinates):
1 In 0.000 0.790 0.044
2 In 0.500 0.214 0.197
3 La 0.000 0.507 0.611
4 P 0.500 0.989 0.648

As for the formation energy: -585 meV/atom.

=====

[20]
## GeBi2S4 (PBE)

Data for an optimized crystal structure of GeBi2S4.

abc: 6.965 6.811 7.956
angles: 90.00 105.74 90.00
Atoms (fractional coordinates):
1 Ge 0.277 0.750 0.200
2 Ge 0.723 0.250 0.800
3 Bi 0.778 0.750 0.056
4 Bi 0.222 0.250 0.944
5 Bi 0.292 0.250 0.438
6 Bi 0.708 0.750 0.562
7 S 0.492 0.492 0.262
8 S 0.086 0.750 0.918
9 S 0.914 0.250 0.082
10 S 0.492 0.008 0.262
11 S 0.934 0.250 0.631
12 S 0.508 0.992 0.738
13 S 0.508 0.508 0.738
14 S 0.066 0.750 0.369

The formation energy from raw total energies comes out at -142 meV/atom.

=====

[21]
## BeCd2Ru (PBE)

Data for an optimized crystal structure of BeCd2Ru.

abc: 2.883 4.016 5.596
angles: 90.00 90.00 90.00
Atoms (fractional coordinates):
1 Ru 0.500 0.500 0.250
2 Be 0.500 0.500 0.750
3 Cd 0.000 0.000 0.996
4 Cd 0.000 0.000 0.504

As for the formation energy: 450 meV/atom.

=====

[22]
## Sr2ClF (PBE)

Data for an optimized crystal structure of Sr2ClF.

abc: 6.482 6.482 7.728
angles: 65.20 65.20 90.00
Atoms (fractional coordinates):
1 Sr 0.576 0.125 0.250
2 Sr 0.174 0.625 0.250
3 Sr 0.375 0.424 0.750
4 Sr 0.875 0.826 0.750
5 F 0.500 0.500 0.000
6 F 0.250 0.750 0.500
7 Cl 0.000 0.000 0.000
8 Cl 0.750 0.250 0.500

Its excess energy over the best structure of this formula in the dataset is 0.0000 eV per atom. The formation energy from raw total energies comes out at -2112 meV/atom.

=====

[23]
## YIn3F (PBE)

Data for an optimized crystal structure of YIn3F.

abc: 4.922 4.922 4.922
angles: 90.00 90.00 90.00
Atoms (fractional coordinates):
1 Y 0.500 0.500 0.500
2 F 0.000 0.000 0.000
3 In 0.000 0.500 0.000
4 In 0.000 0.000 0.500
5 In 0.500 0.000 0.000

Its excess energy over the best structure of this formula in the dataset is 0.0000 eV per atom. The formation energy from raw total energies comes out at -720 meV/atom.

=====

[24]
## DyEr3Hg12 (PBE)

Data for an optimized crystal structure of DyEr3Hg12.

abc: 4.458 4.458 19.549
angles: 90.00 90.00 90.00
Atoms (fractional coordinates):
1 Dy 0.000 0.000 0.000
2 Er 0.000 0.000 0.251
3 Er 0.000 0.000 0.500
4 Er 0.000 0.000 0.749
5 Hg 0.500 0.500 0.000
6 Hg 0.500 0.500 0.251
7 Hg 0.500 0.500 0.500
8 Hg 0.500 0.500 0.749
9 Hg 0.500 0.000 0.126
10 Hg 0.500 0.000 0.375
11 Hg 0.500 0.000 0.625
12 Hg 0.500 0.000 0.874
13 Hg 0.000 0.500 0.126
14 Hg 0.000 0.500 0.375
15 Hg 0.000 0.500 0.625
16 Hg 0.000 0.500 0.874

As for the formation energy: -291 meV/atom.

=====

[25]
## Tl4Pt (PBE)

Data for an optimized crystal structure of Tl4Pt.

abc: 6.044 6.737 6.737
angles: 90.00 90.00 90.00
Atoms (fractional coordinates):
1 Tl 0.257 0.674 0.826
2 Tl 0.257 0.826 0.326
3 Tl 0.743 0.174 0.326
4 Tl 0.743 0.826 0.674
5 Tl 0.743 0.674 0.174
6 Tl 0.743 0.326 0.826
7 Tl 0.257 0.326 0.174
8 Tl 0.257 0.174 0.674
9 Pt 0.000 0.500 0.500
10 Pt 0.000 0.000 0.000

Its excess energy over the best structure of this formula in the dataset is 0.0000 eV per atom. As for the formation energy: -44 meV/atom.